# 1
# Sr3ZnGa (PBE, optimized geometry)
data_Sr3ZnGa
_chemical_formula_sum 'Sr24 Zn8 Ga8'
_symmetry_space_group_name_H-M 'C 1 2/c 1'
_symmetry_Int_Tables_number 15
_cell_length_a 11.9022
_cell_length_b 12.7468
_cell_length_c 9.5670
_cell_angle_alpha 90.00
_cell_angle_beta 92.63
_cell_angle_gamma 90.00
loop_
_symmetry_equiv_pos_as_xyz
'x,y,z'
'-x,-y,-z'
'-x,y,-z+1/2'
'x,-y,z+1/2'
'x+1/2,y+1/2,z'
'-x+1/2,-y+1/2,-z'
'-x+1/2,y+1/2,-z+1/2'
'x+1/2,-y+1/2,z+1/2'
loop_
_atom_site_label
_atom_site_fract_x
_atom_site_fract_y
_atom_site_fract_z
_atom_site_occupancy
Sr1 0.0529 0.1430 0.0647 1
Sr2 0.1158 0.4280 0.9212 1
Sr3 0.2304 0.1864 0.6827 1
Zn1 0.1925 0.0448 0.3539 1
Ga1 0.0000 0.0708 0.7500 1
Ga2 0.0000 0.3687 0.2500 1
# Distance to the lowest polymorph of the same formula, meV per atom: 75
# V, Å³/atom: 36.25
# Total DFT energy (no corrections), eV per atom: -2.039

---

# 2
# RbNbTe (PBE, optimized geometry)
data_RbNbTe
_chemical_formula_sum 'Rb2 Nb2 Te2'
_symmetry_space_group_name_H-M 'I 4 m m'
_symmetry_Int_Tables_number 107
_symmetry_space_group_name_Hall 'I 4 -2'
_cell_length_a 3.7268
_cell_length_b 3.7268
_cell_length_c 13.8811
_cell_angle_alpha 90.00
_cell_angle_beta 90.00
_cell_angle_gamma 90.00
loop_
_atom_site_label
_atom_site_fract_x
_atom_site_fract_y
_atom_site_fract_z
_atom_site_occupancy
Rb1 0.0000 0.0000 0.0000 1
Nb1 0.0000 0.0000 0.2865 1
Te1 0.0000 0.0000 0.7078 1
# Distance to the lowest polymorph of the same formula, meV per atom: 633
# V, Å³/atom: 32.13
# Total DFT energy (no corrections), eV per atom: -4.507
# Raw formation energy, meV/atom: 219

---

# 3
# NaAg2Te2 (PBE, optimized geometry)
data_NaAg2Te2
_chemical_formula_sum 'Na2 Ag4 Te4'
_symmetry_space_group_name_H-M 'P 4/m b m'
_symmetry_Int_Tables_number 127
_symmetry_space_group_name_Hall '-P 4 2ab'
_cell_length_a 8.4682
_cell_length_b 8.4682
_cell_length_c 3.5996
_cell_angle_alpha 90.00
_cell_angle_beta 90.00
_cell_angle_gamma 90.00
loop_
_atom_site_label
_atom_site_fract_x
_atom_site_fract_y
_atom_site_fract_z
_atom_site_occupancy
Na1 0.0000 0.0000 0.0000 1
Ag1 0.1227 0.3773 0.5000 1
Te1 0.1778 0.6778 0.0000 1
# Distance to the lowest polymorph of the same formula, meV per atom: 111
# V, Å³/atom: 25.81
# Total DFT energy (no corrections), eV per atom: -2.837
# Raw formation energy, meV/atom: -176

---

# 4
# Ti2Mn5VB2 (PBE, optimized geometry)
data_Ti2Mn5VB2
_chemical_formula_sum 'Ti4 Mn10 V2 B4'
_symmetry_space_group_name_H-M 'P 4/m b m'
_symmetry_Int_Tables_number 127
_symmetry_space_group_name_Hall '-P 4 2ab'
_cell_length_a 8.6755
_cell_length_b 8.6755
_cell_length_c 2.9506
_cell_angle_alpha 90.00
_cell_angle_beta 90.00
_cell_angle_gamma 90.00
loop_
_atom_site_label
_atom_site_fract_x
_atom_site_fract_y
_atom_site_fract_z
_atom_site_occupancy
Ti1 0.1710 0.3290 0.0000 1
Mn1 0.0000 0.5000 0.5000 1
Mn2 0.0687 0.7880 0.5000 1
V1 0.0000 0.0000 0.0000 1
B1 0.1247 0.6247 0.0000 1
# V, Å³/atom: 11.10
# Total DFT energy (no corrections), eV per atom: -8.818

---

# 5
# MnSnPS (PBE, optimized geometry)
data_MnSnPS
_chemical_formula_sum 'Mn2 Sn2 P2 S2'
_symmetry_space_group_name_H-M 'C 1 m 1'
_symmetry_Int_Tables_number 8
_cell_length_a 7.0374
_cell_length_b 3.0006
_cell_length_c 7.2824
_cell_angle_alpha 90.00
_cell_angle_beta 104.97
_cell_angle_gamma 90.00
loop_
_symmetry_equiv_pos_as_xyz
'x,y,z'
'x,-y,z'
'x+1/2,y+1/2,z'
'x+1/2,-y+1/2,z'
loop_
_atom_site_label
_atom_site_fract_x
_atom_site_fract_y
_atom_site_fract_z
_atom_site_occupancy
Mn1 0.0000 0.0000 0.0000 1
Sn1 0.1624 0.0000 0.4366 1
P1 0.3220 0.0000 0.1264 1
S1 0.4829 0.0000 0.7770 1
# Distance to the lowest polymorph of the same formula, meV per atom: 134
# V, Å³/atom: 18.57
# Total DFT energy (no corrections), eV per atom: -5.801
# Raw formation energy, meV/atom: -124

---

# 6
# LaFeGe4 (PBE, optimized geometry)
data_LaFeGe4
_chemical_formula_sum 'La4 Fe4 Ge16'
_symmetry_space_group_name_H-M 'C m c m'
_symmetry_Int_Tables_number 63
_symmetry_space_group_name_Hall '-C 2c 2'
_cell_length_a 4.4467
_cell_length_b 18.3816
_cell_length_c 5.7834
_cell_angle_alpha 90.00
_cell_angle_beta 90.00
_cell_angle_gamma 90.00
loop_
_atom_site_label
_atom_site_fract_x
_atom_site_fract_y
_atom_site_fract_z
_atom_site_occupancy
La1 0.0000 0.1226 0.2500 1
Fe1 0.0000 0.3982 0.2500 1
Ge1 0.0000 0.0654 0.7500 1
Ge2 0.0000 0.2875 0.0217 1
Ge3 0.0000 0.5000 0.0000 1
# V, Å³/atom: 19.70
# Total DFT energy (no corrections), eV per atom: -5.604

---

Number 5 is which compound? MnSnPS

---

Copy entry 4 word for word.
# Ti2Mn5VB2 (PBE, optimized geometry)
data_Ti2Mn5VB2
_chemical_formula_sum 'Ti4 Mn10 V2 B4'
_symmetry_space_group_name_H-M 'P 4/m b m'
_symmetry_Int_Tables_number 127
_symmetry_space_group_name_Hall '-P 4 2ab'
_cell_length_a 8.6755
_cell_length_b 8.6755
_cell_length_c 2.9506
_cell_angle_alpha 90.00
_cell_angle_beta 90.00
_cell_angle_gamma 90.00
loop_
_atom_site_label
_atom_site_fract_x
_atom_site_fract_y
_atom_site_fract_z
_atom_site_occupancy
Ti1 0.1710 0.3290 0.0000 1
Mn1 0.0000 0.5000 0.5000 1
Mn2 0.0687 0.7880 0.5000 1
V1 0.0000 0.0000 0.0000 1
B1 0.1247 0.6247 0.0000 1
# V, Å³/atom: 11.10
# Total DFT energy (no corrections), eV per atom: -8.818

---

Repeat the sixth record exactly.
# LaFeGe4 (PBE, optimized geometry)
data_LaFeGe4
_chemical_formula_sum 'La4 Fe4 Ge16'
_symmetry_space_group_name_H-M 'C m c m'
_symmetry_Int_Tables_number 63
_symmetry_space_group_name_Hall '-C 2c 2'
_cell_length_a 4.4467
_cell_length_b 18.3816
_cell_length_c 5.7834
_cell_angle_alpha 90.00
_cell_angle_beta 90.00
_cell_angle_gamma 90.00
loop_
_atom_site_label
_atom_site_fract_x
_atom_site_fract_y
_atom_site_fract_z
_atom_site_occupancy
La1 0.0000 0.1226 0.2500 1
Fe1 0.0000 0.3982 0.2500 1
Ge1 0.0000 0.0654 0.7500 1
Ge2 0.0000 0.2875 0.0217 1
Ge3 0.0000 0.5000 0.0000 1
# V, Å³/atom: 19.70
# Total DFT energy (no corrections), eV per atom: -5.604